(1)
{
  "formula": "Tb2Pm6Ho3Pu",
  "functional": "PBE",
  "state": "relaxed",
  "cell": [[6.2259, -0.0022, -0.0020], [-3.1133, 5.3915, -0.0020], [-1.0358, -1.7935, 11.6097]],
  "species": ["Tb", "Tb", "Pm", "Pm", "Pm", "Pm", "Pm", "Pm", "Ho", "Ho", "Ho", "Pu"],
  "frac_coords": [[0.3334, 0.6666, 0.0000], [0.6666, 0.3334, 0.0000], [0.9172, 0.5873, 0.7509], [0.7528, 0.7528, 0.2490], [0.0828, 0.4127, 0.2491], [0.5873, 0.9172, 0.7509], [0.2472, 0.2472, 0.7510], [0.4127, 0.0828, 0.2491], [0.1667, 0.8333, 0.5000], [0.8333, 0.1667, 0.5000], [0.5000, 0.5000, 0.5000], [0.0000, 0.0000, 0.0000]],
  "dos_at_fermi_per_ev_cell": 22.74,
  "m_tot_mub_per_fu": 6.58,
  "energy_ev_per_cell": -65.3,
  "vol_a3_per_atom": 32.5,
  "space_group": "C2/m",
  "formation_enthalpy_0k_mev_per_atom": 46
}

***

(2)
{
  "formula": "Tb3Pm2Ho6Pu",
  "functional": "PBE",
  "state": "relaxed",
  "cell": [[6.1439, -0.0030, -0.0048], [-3.0731, 5.3202, -0.0048], [-1.0185, -1.7636, 11.5147]],
  "species": ["Tb", "Tb", "Tb", "Pm", "Pm", "Ho", "Ho", "Ho", "Ho", "Ho", "Ho", "Pu"],
  "frac_coords": [[0.1669, 0.8331, 0.5000], [0.8331, 0.1669, 0.5000], [0.5000, 0.5000, 0.5000], [0.3335, 0.6665, 0.0000], [0.6665, 0.3335, 0.0000], [0.9169, 0.5878, 0.7503], [0.7540, 0.7540, 0.2498], [0.0831, 0.4122, 0.2497], [0.5878, 0.9169, 0.7503], [0.2460, 0.2460, 0.7502], [0.4122, 0.0831, 0.2497], [0.0000, 0.0000, 0.0000]],
  "dos_at_fermi_per_ev_cell": 24.21,
  "m_tot_mub_per_fu": 6.35,
  "energy_ev_per_cell": -64.7,
  "vol_a3_per_atom": 31.3,
  "space_group": "C2/m",
  "formation_enthalpy_0k_mev_per_atom": 45
}

***

(3)
{
  "formula": "PmHo2Pu3Te6",
  "functional": "PBE",
  "state": "relaxed",
  "cell": [[-3.9784, 0.1246, 1.8345], [-3.6329, -2.3640, -7.7179], [3.7586, -8.4401, 3.4893]],
  "species": ["Pm", "Ho", "Ho", "Pu", "Pu", "Pu", "Te", "Te", "Te", "Te", "Te", "Te"],
  "frac_coords": [[0.5000, 0.0000, 0.0000], [0.8340, 0.6687, 0.6679], [0.1660, 0.3313, 0.3321], [0.5000, 0.5000, 0.0000], [0.8355, 0.1675, 0.6709], [0.1645, 0.8325, 0.3291], [0.3314, 0.9116, 0.6629], [0.6685, 0.5788, 0.3371], [0.6686, 0.0884, 0.3371], [0.0023, 0.2541, 0.0046], [0.9977, 0.7459, 0.9954], [0.3315, 0.4212, 0.6629]],
  "dos_at_fermi_per_ev_cell": 32.50,
  "m_tot_mub_per_fu": 17.91,
  "energy_ev_per_cell": -90.4,
  "vol_a3_per_atom": 30.2,
  "space_group": "C2/m",
  "e_form_raw_mev_per_atom": -1221.2
}

***

(4)
{
  "formula": "Pm2Ho3PuTe6",
  "functional": "PBE",
  "state": "relaxed",
  "cell": [[-3.8770, 1.9136, -0.6027], [-4.0437, -7.1773, 3.2234], [3.4400, 4.5226, 8.0413]],
  "species": ["Pm", "Pm", "Ho", "Ho", "Ho", "Pu", "Te", "Te", "Te", "Te", "Te", "Te"],
  "frac_coords": [[0.8336, 0.6669, 0.6673], [0.1664, 0.3331, 0.3327], [0.5000, 0.5000, 0.0000], [0.8320, 0.1644, 0.6641], [0.1680, 0.8356, 0.3359], [0.5000, 0.0000, 0.0000], [0.3323, 0.9226, 0.6646], [0.6643, 0.5902, 0.3286], [0.6677, 0.0774, 0.3354], [0.9971, 0.2531, 0.9942], [0.0029, 0.7469, 0.0058], [0.3357, 0.4098, 0.6714]],
  "dos_at_fermi_per_ev_cell": 13.17,
  "m_tot_mub_per_fu": 6.13,
  "energy_ev_per_cell": -71.9,
  "vol_a3_per_atom": 30.0,
  "space_group": "C2/m",
  "e_form_raw_mev_per_atom": -1293.2
}

***

(5)
{
  "formula": "PmHoPuTh",
  "functional": "PBE",
  "state": "relaxed",
  "cell": [[-0.1046, 1.4738, -5.4069], [-4.8798, 0.2303, -2.7481], [-2.1333, 4.9576, -1.5127]],
  "species": ["Pm", "Ho", "Th", "Pu"],
  "frac_coords": [[0.0000, 0.0000, 0.0000], [0.2500, 0.2500, 0.2500], [0.5000, 0.5000, 0.5000], [0.7500, 0.7500, 0.7500]],
  "dos_at_fermi_per_ev_cell": 13.04,
  "m_tot_mub_per_fu": 8.13,
  "energy_ev_per_cell": -30.2,
  "vol_a3_per_atom": 31.1,
  "space_group": "F-43m",
  "formation_enthalpy_0k_mev_per_atom": 214
}

***

(6)
{
  "formula": "PmHoPuTl",
  "functional": "PBE",
  "state": "relaxed",
  "cell": [[-4.3536, -3.0968, -1.1680], [-2.1019, -3.3115, 3.8112], [-4.8533, 1.1476, 2.2443]],
  "species": ["Tl", "Pm", "Ho", "Pu"],
  "frac_coords": [[0.0000, 0.0000, 0.0000], [0.5000, 0.5000, 0.5000], [0.7500, 0.7500, 0.7500], [0.2500, 0.2500, 0.2500]],
  "dos_at_fermi_per_ev_cell": 10.87,
  "m_tot_mub_per_fu": 6.83,
  "energy_ev_per_cell": -25.6,
  "vol_a3_per_atom": 28.9,
  "space_group": "F-43m",
  "formation_enthalpy_0k_mev_per_atom": 103
}

***

(7)
{
  "formula": "Pm2Ho6Tm3Pu",
  "functional": "PBE",
  "state": "relaxed",
  "cell": [[-3.2236, -3.5080, -3.8295], [5.7323, 1.5935, -1.4015], [3.0676, -8.7463, 7.0620]],
  "species": ["Pm", "Pm", "Ho", "Ho", "Ho", "Ho", "Ho", "Ho", "Tm", "Tm", "Tm", "Pu"],
  "frac_coords": [[0.3335, 0.6665, 0.0000], [0.6665, 0.3335, 0.0000], [0.9165, 0.5871, 0.7483], [0.7542, 0.7542, 0.2518], [0.0835, 0.4129, 0.2517], [0.5871, 0.9165, 0.7483], [0.2458, 0.2458, 0.7482], [0.4129, 0.0835, 0.2517], [0.1669, 0.8331, 0.5000], [0.8331, 0.1669, 0.5000], [0.5000, 0.5000, 0.5000], [0.0000, 0.0000, 0.0000]],
  "dos_at_fermi_per_ev_cell": 25.60,
  "m_tot_mub_per_fu": 6.27,
  "energy_ev_per_cell": -64.1,
  "vol_a3_per_atom": 30.9,
  "space_group": "C2/m",
  "formation_enthalpy_0k_mev_per_atom": 50
}

***

(8)
{
  "formula": "Pm3Ho6Tm2Pu",
  "functional": "PBE",
  "state": "relaxed",
  "cell": [[6.1288, -0.0010, -0.0096], [-3.0638, 5.3081, -0.0096], [-1.0066, -1.7429, 11.5048]],
  "species": ["Pm", "Pm", "Pm", "Ho", "Ho", "Ho", "Ho", "Ho", "Ho", "Tm", "Tm", "Pu"],
  "frac_coords": [[0.1673, 0.8327, 0.5000], [0.8327, 0.1673, 0.5000], [0.5000, 0.5000, 0.5000], [0.9184, 0.5890, 0.7556], [0.7520, 0.7520, 0.2446], [0.0816, 0.4110, 0.2444], [0.5890, 0.9184, 0.7556], [0.2480, 0.2480, 0.7554], [0.4110, 0.0816, 0.2444], [0.3334, 0.6666, 0.0000], [0.6666, 0.3334, 0.0000], [0.0000, 0.0000, 0.0000]],
  "dos_at_fermi_per_ev_cell": 23.25,
  "m_tot_mub_per_fu": 6.54,
  "energy_ev_per_cell": -64.5,
  "vol_a3_per_atom": 31.2,
  "space_group": "C2/m",
  "formation_enthalpy_0k_mev_per_atom": 44
}

***

(9)
{
  "formula": "Pm3Ho2Tm6Pu",
  "functional": "PBE",
  "state": "relaxed",
  "cell": [[6.1128, -0.0007, -0.0079], [-3.0555, 5.2944, -0.0079], [-1.0051, -1.7403, 11.4221]],
  "species": ["Pm", "Pm", "Pm", "Ho", "Ho", "Tm", "Tm", "Tm", "Tm", "Tm", "Tm", "Pu"],
  "frac_coords": [[0.1673, 0.8327, 0.5000], [0.8327, 0.1673, 0.5000], [0.5000, 0.5000, 0.5000], [0.3334, 0.6666, 0.0000], [0.6666, 0.3334, 0.0000], [0.9181, 0.5891, 0.7548], [0.7526, 0.7526, 0.2454], [0.0819, 0.4109, 0.2452], [0.5891, 0.9181, 0.7548], [0.2474, 0.2474, 0.7546], [0.4109, 0.0819, 0.2452], [0.0000, 0.0000, 0.0000]],
  "dos_at_fermi_per_ev_cell": 22.21,
  "m_tot_mub_per_fu": 6.48,
  "energy_ev_per_cell": -64.1,
  "vol_a3_per_atom": 30.8,
  "space_group": "C2/m",
  "formation_enthalpy_0k_mev_per_atom": 42
}

***

(10)
{
  "formula": "PmHoTmPu",
  "functional": "PBE",
  "state": "relaxed",
  "cell": [[5.5963, 0.0000, 0.0000], [2.7982, 4.8466, 0.0000], [2.7982, 1.6155, 4.5694]],
  "species": ["Tm", "Pm", "Ho", "Pu"],
  "frac_coords": [[0.2500, 0.2500, 0.2500], [0.5000, 0.5000, 0.5000], [0.7500, 0.7500, 0.7500], [0.0000, 0.0000, 0.0000]],
  "dos_at_fermi_per_ev_cell": 11.26,
  "m_tot_mub_per_fu": 6.31,
  "energy_ev_per_cell": -27.3,
  "vol_a3_per_atom": 31.0,
  "space_group": "F-43m",
  "formation_enthalpy_0k_mev_per_atom": 198
}

***

(11)
{
  "formula": "Pm2Ho3Tm6Pu",
  "functional": "PBE",
  "state": "relaxed",
  "cell": [[-2.3545, -3.1312, -4.6688], [5.8218, -0.8298, 1.6011], [-4.3132, -6.9806, 8.1870]],
  "species": ["Pm", "Pm", "Ho", "Ho", "Ho", "Tm", "Tm", "Tm", "Tm", "Tm", "Tm", "Pu"],
  "frac_coords": [[0.3335, 0.6665, 0.0000], [0.6665, 0.3335, 0.0000], [0.1670, 0.8330, 0.5000], [0.8330, 0.1670, 0.5000], [0.5000, 0.5000, 0.5000], [0.9167, 0.5876, 0.7495], [0.7544, 0.7544, 0.2507], [0.0833, 0.4124, 0.2505], [0.5876, 0.9167, 0.7495], [0.2456, 0.2456, 0.7493], [0.4124, 0.0833, 0.2505], [0.0000, 0.0000, 0.0000]],
  "dos_at_fermi_per_ev_cell": 24.56,
  "m_tot_mub_per_fu": 6.27,
  "energy_ev_per_cell": -63.8,
  "vol_a3_per_atom": 30.6,
  "space_group": "C2/m",
  "formation_enthalpy_0k_mev_per_atom": 48
}

***

(12)
{
  "formula": "Pm3Y2Ho6Pu",
  "functional": "PBE",
  "state": "relaxed",
  "cell": [[-3.4286, 3.9681, 3.2329], [-2.6591, -4.8000, -2.8004], [3.5799, -6.1123, 9.3395]],
  "species": ["Pm", "Pm", "Pm", "Y", "Y", "Ho", "Ho", "Ho", "Ho", "Ho", "Ho", "Pu"],
  "frac_coords": [[0.1672, 0.8328, 0.5000], [0.8328, 0.1672, 0.5000], [0.5000, 0.5000, 0.5000], [0.3334, 0.6666, 0.0000], [0.6666, 0.3334, 0.0000], [0.9181, 0.5895, 0.7539], [0.7531, 0.7531, 0.2463], [0.0819, 0.4105, 0.2461], [0.5895, 0.9181, 0.7539], [0.2469, 0.2469, 0.7537], [0.4105, 0.0819, 0.2461], [0.0000, 0.0000, 0.0000]],
  "dos_at_fermi_per_ev_cell": 23.50,
  "m_tot_mub_per_fu": 6.52,
  "energy_ev_per_cell": -68.4,
  "vol_a3_per_atom": 31.6,
  "space_group": "C2/m",
  "formation_enthalpy_0k_mev_per_atom": 46
}

***

(13)
{
  "formula": "PmYHoPu",
  "functional": "PBE",
  "state": "relaxed",
  "cell": [[5.6275, 0.0000, 0.0000], [2.8137, 4.8735, 0.0000], [2.8137, 1.6245, 4.5948]],
  "species": ["Y", "Pm", "Ho", "Pu"],
  "frac_coords": [[0.2500, 0.2500, 0.2500], [0.0000, 0.0000, 0.0000], [0.5000, 0.5000, 0.5000], [0.7500, 0.7500, 0.7500]],
  "dos_at_fermi_per_ev_cell": 10.96,
  "m_tot_mub_per_fu": 7.44,
  "energy_ev_per_cell": -29.3,
  "vol_a3_per_atom": 31.5,
  "space_group": "F-43m",
  "formation_enthalpy_0k_mev_per_atom": 207
}

***

(14)
{
  "formula": "Pm3Y6Ho2Pu",
  "functional": "PBE",
  "state": "relaxed",
  "cell": [[-5.1998, -0.8508, 3.2462], [1.8784, -4.3119, -4.0223], [7.1998, -3.4574, 8.6577]],
  "species": ["Pm", "Pm", "Pm", "Y", "Y", "Y", "Y", "Y", "Y", "Ho", "Ho", "Pu"],
  "frac_coords": [[0.1672, 0.8328, 0.5000], [0.8328, 0.1672, 0.5000], [0.5000, 0.5000, 0.5000], [0.9184, 0.5889, 0.7548], [0.7521, 0.7521, 0.2453], [0.0816, 0.4111, 0.2452], [0.5889, 0.9184, 0.7548], [0.2479, 0.2479, 0.7547], [0.4111, 0.0816, 0.2452], [0.3334, 0.6666, 0.0000], [0.6666, 0.3334, 0.0000], [0.0000, 0.0000, 0.0000]],
  "dos_at_fermi_per_ev_cell": 23.56,
  "m_tot_mub_per_fu": 6.56,
  "energy_ev_per_cell": -76.0,
  "vol_a3_per_atom": 32.0,
  "space_group": "C2/m",
  "formation_enthalpy_0k_mev_per_atom": 46
}

***

(15)
{
  "formula": "Pm2Y6Ho3Pu",
  "functional": "PBE",
  "state": "relaxed",
  "cell": [[-4.0474, 4.6218, -0.6001], [-0.6950, -4.1481, 4.5181], [8.0434, 6.4071, 5.7100]],
  "species": ["Pm", "Pm", "Y", "Y", "Y", "Y", "Y", "Y", "Ho", "Ho", "Ho", "Pu"],
  "frac_coords": [[0.3335, 0.6665, 0.0000], [0.6665, 0.3335, 0.0000], [0.9167, 0.5872, 0.7493], [0.7538, 0.7538, 0.2508], [0.0833, 0.4128, 0.2507], [0.5872, 0.9167, 0.7493], [0.2462, 0.2462, 0.7492], [0.4128, 0.0833, 0.2507], [0.1669, 0.8331, 0.5000], [0.8331, 0.1669, 0.5000], [0.5000, 0.5000, 0.5000], [0.0000, 0.0000, 0.0000]],
  "dos_at_fermi_per_ev_cell": 26.17,
  "m_tot_mub_per_fu": 6.29,
  "energy_ev_per_cell": -75.7,
  "vol_a3_per_atom": 31.8,
  "space_group": "C2/m",
  "formation_enthalpy_0k_mev_per_atom": 52
}

***

(16)
{
  "formula": "RbPm2Ho",
  "functional": "PBE",
  "state": "relaxed",
  "cell": [[3.6723, 0.0000, 0.0000], [1.8361, 3.1803, 0.0000], [1.8361, 1.0601, 13.4491]],
  "species": ["Ho", "Rb", "Pm", "Pm"],
  "frac_coords": [[0.5000, 0.5000, 0.5000], [0.0000, 0.0000, 0.0000], [0.0965, 0.0965, 0.7105], [0.9035, 0.9035, 0.2895]],
  "dos_at_fermi_per_ev_cell": 4.14,
  "m_tot_mub_per_fu": 0.00,
  "energy_ev_per_cell": -14.0,
  "vol_a3_per_atom": 39.3,
  "space_group": "R-3m",
  "formation_enthalpy_0k_mev_per_atom": 255
}

***

(17)
{
  "formula": "Rb3Pm2HoS6",
  "functional": "PBE",
  "state": "relaxed",
  "cell": [[7.1886, -0.0010, 0.0001], [-3.5934, 6.2261, 0.0001], [-1.1989, -2.0759, 7.7070]],
  "species": ["Rb", "Rb", "Rb", "Pm", "Pm", "Ho", "S", "S", "S", "S", "S", "S"],
  "frac_coords": [[0.1676, 0.8324, 0.5000], [0.8324, 0.1676, 0.5000], [0.5000, 0.5000, 0.5000], [0.3334, 0.6666, 0.0000], [0.6666, 0.3334, 0.0000], [0.0000, 0.0000, 0.0000], [0.9352, 0.6094, 0.8057], [0.7391, 0.7391, 0.1946], [0.0648, 0.3906, 0.1943], [0.6094, 0.9352, 0.8057], [0.2609, 0.2609, 0.8054], [0.3906, 0.0648, 0.1943]],
  "dos_at_fermi_per_ev_cell": 0.00,
  "m_tot_mub_per_fu": 0.00,
  "energy_ev_per_cell": -63.8,
  "vol_a3_per_atom": 28.7,
  "space_group": "C2/m",
  "e_form_raw_mev_per_atom": -1839.2
}

***

(18)
{
  "formula": "Rb4Pm3HoS8",
  "functional": "PBE",
  "state": "relaxed",
  "cell": [[8.3216, 0.0000, 0.0000], [0.0000, 9.0686, 0.5186], [-4.1608, -4.1561, 5.8874]],
  "species": ["Rb", "Rb", "Rb", "Rb", "Pm", "Pm", "Pm", "Ho", "S", "S", "S", "S", "S", "S", "S", "S"],
  "frac_coords": [[0.5000, 0.0000, 0.0000], [0.5000, 0.0000, 0.5000], [0.0000, 0.0000, 0.0000], [0.0000, 0.0000, 0.5000], [0.5000, 0.5000, 0.0000], [0.5000, 0.5000, 0.5000], [0.0000, 0.5000, 0.5000], [0.0000, 0.5000, 0.0000], [0.2280, 0.6942, 0.9662], [0.2280, 0.6942, 0.4560], [0.2676, 0.3029, 0.5352], [0.7382, 0.6942, 0.9662], [0.2618, 0.3058, 0.0338], [0.7324, 0.6971, 0.4648], [0.7720, 0.3058, 0.5440], [0.7720, 0.3058, 0.0338]],
  "dos_at_fermi_per_ev_cell": 0.00,
  "m_tot_mub_per_fu": 0.00,
  "energy_ev_per_cell": -85.1,
  "vol_a3_per_atom": 28.9,
  "space_group": "R-3m",
  "e_form_raw_mev_per_atom": -1837.0
}

***

(19)
{
  "formula": "Rb4PmHo3Se8",
  "functional": "PBE",
  "state": "relaxed",
  "cell": [[8.5126, 0.0000, 0.0000], [0.0000, 9.3700, 0.5992], [-4.2563, -4.2544, 6.0209]],
  "species": ["Rb", "Rb", "Rb", "Rb", "Pm", "Ho", "Ho", "Ho", "Se", "Se", "Se", "Se", "Se", "Se", "Se", "Se"],
  "frac_coords": [[0.5000, 0.0000, 0.0000], [0.5000, 0.0000, 0.5000], [0.0000, 0.0000, 0.0000], [0.0000, 0.0000, 0.5000], [0.0000, 0.5000, 0.0000], [0.5000, 0.5000, 0.0000], [0.5000, 0.5000, 0.5000], [0.0000, 0.5000, 0.5000], [0.2355, 0.6966, 0.9612], [0.2355, 0.6966, 0.4710], [0.2686, 0.3060, 0.5373], [0.7257, 0.6966, 0.9612], [0.2743, 0.3034, 0.0388], [0.7314, 0.6940, 0.4627], [0.7645, 0.3034, 0.5290], [0.7645, 0.3034, 0.0388]],
  "dos_at_fermi_per_ev_cell": 0.00,
  "m_tot_mub_per_fu": 0.00,
  "energy_ev_per_cell": -78.0,
  "vol_a3_per_atom": 31.4,
  "space_group": "R-3m",
  "e_form_raw_mev_per_atom": -1734.3
}

***

(20)
{
  "formula": "RbPm2Ho3Te6",
  "functional": "PBE",
  "state": "relaxed",
  "cell": [[4.3809, 0.0000, 0.0000], [0.0000, 9.2111, 0.1970], [-2.1904, -2.7883, 9.4649]],
  "species": ["Rb", "Pm", "Pm", "Ho", "Ho", "Ho", "Te", "Te", "Te", "Te", "Te", "Te"],
  "frac_coords": [[0.5000, 0.0000, 0.0000], [0.8264, 0.6476, 0.6527], [0.1736, 0.3524, 0.3473], [0.5000, 0.5000, 0.0000], [0.8373, 0.1763, 0.6747], [0.1627, 0.8237, 0.3253], [0.3233, 0.9177, 0.6465], [0.6619, 0.5923, 0.3237], [0.6767, 0.0823, 0.3535], [0.0012, 0.2742, 0.0025], [0.9988, 0.7258, 0.9975], [0.3381, 0.4077, 0.6763]],
  "dos_at_fermi_per_ev_cell": 3.35,
  "m_tot_mub_per_fu": 0.00,
  "energy_ev_per_cell": -58.7,
  "vol_a3_per_atom": 32.0,
  "space_group": "C2/m",
  "e_form_raw_mev_per_atom": -1304.1
}